Record 1
A plane-wave DFT calculation with GGA-PBE was carried out for a geometry-optimized SrHgPb3 structure.

Unit cell a=5.783 b=5.783 c=5.783 alpha=90.00 beta=90.00 gamma=90.00
Fractional positions:
Pb: 0.000 0.500 0.000
Pb: 0.000 0.000 0.500
Pb: 0.500 0.000 0.000
Sr: 0.500 0.500 0.500
Hg: 0.000 0.000 0.000

Calculated values
relative energy among the computed polymorphs = 293 meV per atom
magnetization = 0.0 μB per formula unit
SG = Pm-3m
crystal system = cubic
E_tot = -12.71 eV for the cell shown
formation energy from the elements = 0.08 eV/atom


Record 2
A plane-wave DFT calculation with GGA-PBE was carried out for a geometry-optimized Sr4Hg3Pb structure.

Unit cell a=5.721 b=5.721 c=8.997 alpha=108.52 beta=108.54 gamma=90.00
Fractional positions:
Pb: 0.500 0.000 0.000
Sr: 0.373 0.373 0.746
Sr: 0.627 0.627 0.254
Sr: 0.127 0.127 0.254
Sr: 0.873 0.873 0.746
Hg: 0.000 0.500 0.000
Hg: 0.750 0.250 0.499
Hg: 0.250 0.750 0.501

Calculated values
magnetization = 0.0 μB per formula unit
SG = I4/mmm
crystal system = tetragonal
E_tot = -15.83 eV for the cell shown
formation energy from the elements = -0.56 eV/atom


Record 3
A plane-wave DFT calculation with GGA-PBE was carried out for a geometry-optimized Sr4Hg2Pb5 structure.

Unit cell a=4.084 b=8.765 c=10.260 alpha=89.21 beta=90.00 gamma=90.00
Fractional positions:
Sr: 0.500 0.244 0.610
Sr: 0.500 0.785 0.859
Sr: 0.500 0.756 0.390
Sr: 0.500 0.215 0.141
Hg: 0.000 0.919 0.623
Hg: 0.000 0.081 0.377
Pb: 0.000 0.440 0.343
Pb: 0.000 0.872 0.124
Pb: 0.000 0.500 0.000
Pb: 0.000 0.128 0.876
Pb: 0.000 0.560 0.657

Calculated values
magnetization = 0.0 μB per formula unit
SG = P2/m
crystal system = monoclinic
E_tot = -30.44 eV for the cell shown
formation energy from the elements = -0.42 eV/atom


Record 4
A plane-wave DFT calculation with GGA-PBE was carried out for a geometry-optimized SrHg2Pb structure.

Unit cell a=6.246 b=6.246 c=5.140 alpha=66.38 beta=66.38 gamma=41.44
Fractional positions:
Pb: 0.493 0.493 0.507
Sr: 0.259 0.259 0.241
Hg: 0.012 0.012 0.988
Hg: 0.737 0.737 0.764

Calculated values
magnetization = 0.0 μB per formula unit
SG = Cm
crystal system = monoclinic
E_tot = -7.25 eV for the cell shown
formation energy from the elements = -0.31 eV/atom


Record 5
A plane-wave DFT calculation with GGA-PBE was carried out for a geometry-optimized Sr2HgPb2 structure.

Unit cell a=6.569 b=6.569 c=6.588 alpha=60.09 beta=60.09 gamma=90.00
Fractional positions:
Pb: 0.338 0.338 0.323
Pb: 0.662 0.662 0.677
Sr: 0.750 0.250 0.500
Sr: 0.250 0.750 0.500
Hg: 0.000 0.000 0.000

Calculated values
relative energy among the computed polymorphs = 294 meV per atom
magnetization = 0.0 μB per formula unit
SG = I4/mmm
crystal system = tetragonal
E_tot = -12.05 eV for the cell shown
formation energy from the elements = -0.19 eV/atom


Record 6
A plane-wave DFT calculation with GGA-PBE was carried out for a geometry-optimized Sr3HgPb structure.

Unit cell a=5.747 b=5.762 c=11.800 alpha=90.00 beta=75.91 gamma=90.00
Fractional positions:
Sr: 0.751 0.250 0.147
Sr: 0.398 0.250 0.853
Sr: 0.574 0.250 0.500
Sr: 0.251 0.750 0.147
Sr: 0.898 0.750 0.853
Sr: 0.074 0.750 0.500
Hg: 0.669 0.750 0.310
Hg: 0.979 0.250 0.690
Pb: 0.485 0.750 0.679
Pb: 0.164 0.250 0.321

Calculated values
relative energy among the computed polymorphs = 0 meV per atom
magnetization = 0.0 μB per formula unit
SG = Cmcm
crystal system = orthorhombic
E_tot = -22.96 eV for the cell shown
formation energy from the elements = -0.48 eV/atom


Record 7
A plane-wave DFT calculation with GGA-PBE was carried out for a geometry-optimized Sr3Hg4Pb2 structure.

Unit cell a=5.147 b=6.467 c=9.952 alpha=112.55 beta=90.00 gamma=113.45
Fractional positions:
Sr: 0.664 0.327 0.670
Sr: 0.000 0.000 0.000
Sr: 0.336 0.673 0.330
Hg: 0.701 0.403 0.024
Hg: 0.299 0.597 0.976
Hg: 0.919 0.838 0.580
Hg: 0.081 0.162 0.420
Pb: 0.610 0.219 0.271
Pb: 0.390 0.781 0.729

Calculated values
magnetization = 0.0 μB per formula unit
SG = C2/m
crystal system = monoclinic
E_tot = -17.95 eV for the cell shown
formation energy from the elements = -0.48 eV/atom


Record 8
A plane-wave DFT calculation with GGA-PBE was carried out for a geometry-optimized SrHg2Pb structure.

Unit cell a=4.944 b=4.944 c=11.503 alpha=77.59 beta=77.59 gamma=90.00
Fractional positions:
Pb: 0.000 0.000 0.000
Pb: 0.750 0.250 0.500
Sr: 0.500 0.500 0.000
Sr: 0.250 0.750 0.500
Hg: 0.666 0.125 0.250
Hg: 0.084 0.625 0.250
Hg: 0.375 0.334 0.750
Hg: 0.875 0.916 0.750

Calculated values
magnetization = 0.0 μB per formula unit
SG = I-42d
crystal system = tetragonal
E_tot = -13.76 eV for the cell shown
formation energy from the elements = -0.22 eV/atom


Record 9
A plane-wave DFT calculation with GGA-PBE was carried out for a geometry-optimized Sr3Hg3Pb4 structure.

Unit cell a=9.436 b=9.436 c=9.436 alpha=109.47 beta=109.47 gamma=109.47
Fractional positions:
Sr: 0.625 0.750 0.875
Sr: 0.875 0.250 0.625
Sr: 0.125 0.375 0.250
Sr: 0.375 0.125 0.750
Sr: 0.250 0.875 0.125
Sr: 0.750 0.625 0.375
Hg: 0.125 0.750 0.375
Hg: 0.375 0.250 0.125
Hg: 0.625 0.875 0.250
Hg: 0.875 0.625 0.750
Hg: 0.250 0.375 0.625
Hg: 0.750 0.125 0.875
Pb: 0.000 0.000 0.310
Pb: 0.500 0.310 0.500
Pb: 0.690 0.190 0.190
Pb: 0.000 0.000 0.810
Pb: 0.810 0.500 0.000
Pb: 0.500 0.810 0.500
Pb: 0.310 0.500 0.000
Pb: 0.190 0.690 0.690

Calculated values
magnetization = 0.0 μB per formula unit
SG = I-43d
crystal system = cubic
E_tot = -48.49 eV for the cell shown
formation energy from the elements = -0.35 eV/atom


Record 10
A plane-wave DFT calculation with GGA-PBE was carried out for a geometry-optimized Sr2HgPb2 structure.

Unit cell a=5.142 b=6.613 c=11.103 alpha=87.34 beta=76.61 gamma=67.12
Fractional positions:
Sr: 0.687 0.297 0.329
Sr: 0.923 0.259 0.894
Sr: 0.313 0.703 0.671
Sr: 0.077 0.741 0.106
Hg: 0.590 0.140 0.680
Hg: 0.410 0.860 0.320
Pb: 0.099 0.255 0.547
Pb: 0.643 0.825 0.888
Pb: 0.901 0.745 0.453
Pb: 0.357 0.175 0.112

Calculated values
relative energy among the computed polymorphs = 0 meV per atom
magnetization = 0.0 μB per formula unit
SG = C2/m
crystal system = monoclinic
E_tot = -27.05 eV for the cell shown
formation energy from the elements = -0.49 eV/atom


Record 11
A plane-wave DFT calculation with GGA-PBE was carried out for a geometry-optimized Sr2HgPb structure.

Unit cell a=4.051 b=5.580 c=6.767 alpha=90.00 beta=90.00 gamma=90.00
Fractional positions:
Hg: 0.000 0.000 0.381
Pb: 0.500 0.500 0.869
Sr: 0.000 0.000 0.880
Sr: 0.500 0.500 0.370

Calculated values
magnetization = 0.0 μB per formula unit
SG = Pmm2
crystal system = orthorhombic
E_tot = -8.90 eV for the cell shown
formation energy from the elements = -0.38 eV/atom


Record 12
A plane-wave DFT calculation with GGA-PBE was carried out for a geometry-optimized Sr2Hg5Pb structure.

Unit cell a=7.012 b=7.012 c=6.857 alpha=120.72 beta=120.75 gamma=90.00
Fractional positions:
Sr: 0.222 0.720 0.443
Sr: 0.722 0.224 0.443
Hg: 0.703 0.239 0.941
Hg: 0.238 0.239 0.941
Hg: 0.704 0.704 0.944
Hg: 0.241 0.704 0.944
Hg: 0.755 0.756 0.510
Pb: 0.193 0.192 0.387

Calculated values
magnetization = 0.0 μB per formula unit
SG = Cm
crystal system = monoclinic
E_tot = -11.43 eV for the cell shown
formation energy from the elements = -0.36 eV/atom


Record 13
A plane-wave DFT calculation with GGA-PBE was carried out for a geometry-optimized SrHgPb structure.

Unit cell a=5.119 b=6.685 c=6.546 alpha=76.91 beta=66.98 gamma=67.49
Fractional positions:
Sr: 0.546 0.197 0.711
Sr: 0.454 0.803 0.289
Hg: 0.838 0.175 0.149
Hg: 0.162 0.825 0.851
Pb: 0.165 0.415 0.256
Pb: 0.835 0.585 0.744

Calculated values
magnetization = 0.0 μB per formula unit
SG = C2/m
crystal system = monoclinic
E_tot = -14.06 eV for the cell shown
formation energy from the elements = -0.45 eV/atom


Record 14
A plane-wave DFT calculation with GGA-PBE was carried out for a geometry-optimized SrHgPb structure.

Unit cell a=5.424 b=6.523 c=6.525 alpha=77.31 beta=65.50 gamma=65.52
Fractional positions:
Pb: 0.839 0.436 0.032
Pb: 0.522 0.253 0.849
Sr: 0.216 0.263 0.451
Sr: 0.145 0.834 0.022
Hg: 0.864 0.813 0.606
Hg: 0.498 0.678 0.472

Calculated values
magnetization = 0.0 μB per formula unit
SG = P1
crystal system = triclinic
E_tot = -13.92 eV for the cell shown
formation energy from the elements = -0.42 eV/atom


Record 15
A plane-wave DFT calculation with GGA-PBE was carried out for a geometry-optimized SrHgPb structure.

Unit cell a=5.131 b=5.130 c=8.519 alpha=90.01 beta=90.00 gamma=60.00
Fractional positions:
Pb: 0.313 0.727 0.353
Pb: 0.980 0.393 0.486
Sr: 0.646 0.060 0.692
Sr: 0.647 0.060 0.147
Hg: 0.980 0.393 0.915
Hg: 0.313 0.727 0.924

Calculated values
magnetization = 0.0 μB per formula unit
SG = P-3m1
crystal system = trigonal
E_tot = -13.98 eV for the cell shown
formation energy from the elements = -0.43 eV/atom


Record 16
A plane-wave DFT calculation with GGA-PBE was carried out for a geometry-optimized Sr7Hg2Pb2 structure.

Unit cell a=7.675 b=8.312 c=7.675 alpha=90.00 beta=108.78 gamma=90.00
Fractional positions:
Sr: 0.000 0.272 0.500
Sr: 0.500 0.728 0.000
Sr: 0.000 0.728 0.500
Sr: 0.500 0.272 0.000
Sr: 0.000 0.000 0.000
Sr: 0.500 0.754 0.500
Sr: 0.500 0.246 0.500
Hg: 0.713 0.000 0.287
Hg: 0.287 0.000 0.713
Pb: 0.820 0.500 0.820
Pb: 0.180 0.500 0.180

Calculated values
magnetization = 0.0 μB per formula unit
SG = Cmmm
crystal system = orthorhombic
E_tot = -22.89 eV for the cell shown
formation energy from the elements = -0.28 eV/atom


Record 17
A plane-wave DFT calculation with GGA-PBE was carried out for a geometry-optimized SrHgPb4 structure.

Unit cell a=6.217 b=6.217 c=10.901 alpha=103.11 beta=103.12 gamma=103.36
Fractional positions:
Sr: 0.764 0.736 0.000
Sr: 0.236 0.264 0.000
Hg: 0.500 0.000 0.500
Hg: 0.000 0.500 0.500
Pb: 0.638 0.138 0.813
Pb: 0.821 0.320 0.186
Pb: 0.362 0.862 0.187
Pb: 0.179 0.680 0.814
Pb: 0.070 0.090 0.659
Pb: 0.410 0.430 0.341
Pb: 0.930 0.910 0.341
Pb: 0.590 0.570 0.659

Calculated values
relative energy among the computed polymorphs = 15 meV per atom
magnetization = 0.0 μB per formula unit
SG = C2/m
crystal system = monoclinic
E_tot = -35.36 eV for the cell shown
formation energy from the elements = -0.14 eV/atom


Record 18
A plane-wave DFT calculation with GGA-PBE was carried out for a geometry-optimized SrHgPb structure.

Unit cell a=6.692 b=6.692 c=3.948 alpha=72.85 beta=72.85 gamma=34.31
Fractional positions:
Hg: 0.996 0.996 0.004
Pb: 0.349 0.349 0.651
Sr: 0.655 0.655 0.345

Calculated values
magnetization = 0.0 μB per formula unit
SG = I4mm
crystal system = tetragonal
E_tot = -6.87 eV for the cell shown
formation energy from the elements = -0.39 eV/atom


Record 19
A plane-wave DFT calculation with GGA-PBE was carried out for a geometry-optimized Sr3Hg4Pb structure.

Unit cell a=4.170 b=8.148 c=9.159 alpha=116.41 beta=103.16 gamma=90.00
Fractional positions:
Pb: 0.500 0.000 0.000
Sr: 0.179 0.179 0.358
Sr: 0.821 0.821 0.642
Sr: 0.000 0.500 0.000
Hg: 0.360 0.550 0.721
Hg: 0.640 0.450 0.279
Hg: 0.640 0.829 0.279
Hg: 0.360 0.171 0.721

Calculated values
magnetization = 0.0 μB per formula unit
SG = Immm
crystal system = orthorhombic
E_tot = -13.20 eV for the cell shown
formation energy from the elements = -0.40 eV/atom


Record 20
A plane-wave DFT calculation with GGA-PBE was carried out for a geometry-optimized SrHg14Pb structure.

Unit cell a=7.243 b=7.243 c=8.343 alpha=90.00 beta=90.00 gamma=88.94
Fractional positions:
Sr: 0.375 0.375 0.500
Hg: 0.875 0.875 0.000
Hg: 0.375 0.375 0.000
Hg: 0.875 0.375 0.500
Hg: 0.875 0.375 0.000
Hg: 0.375 0.875 0.500
Hg: 0.375 0.875 0.000
Hg: 0.630 0.120 0.237
Hg: 0.630 0.120 0.763
Hg: 0.120 0.630 0.237
Hg: 0.120 0.630 0.763
Hg: 0.629 0.629 0.239
Hg: 0.629 0.629 0.761
Hg: 0.121 0.121 0.239
Hg: 0.121 0.121 0.761
Pb: 0.875 0.875 0.500

Calculated values
magnetization = 0.0 μB per formula unit
SG = Cmmm
crystal system = orthorhombic
E_tot = -11.10 eV for the cell shown
formation energy from the elements = -0.09 eV/atom


Record 21
A plane-wave DFT calculation with GGA-PBE was carried out for a geometry-optimized Sr3Hg8Pb3 structure.

Unit cell a=4.843 b=9.677 c=9.677 alpha=73.27 beta=75.51 gamma=75.51
Fractional positions:
Sr: 0.500 0.500 0.500
Sr: 0.799 0.201 0.201
Sr: 0.201 0.799 0.799
Hg: 0.650 0.068 0.632
Hg: 0.350 0.932 0.368
Hg: 0.650 0.632 0.068
Hg: 0.350 0.368 0.932
Hg: 0.841 0.784 0.534
Hg: 0.159 0.216 0.466
Hg: 0.841 0.534 0.784
Hg: 0.159 0.466 0.216
Pb: 0.500 0.000 0.000
Pb: 0.000 0.796 0.204
Pb: 0.000 0.204 0.796

Calculated values
magnetization = 0.0 μB per formula unit
SG = Immm
crystal system = orthorhombic
E_tot = -23.00 eV for the cell shown
formation energy from the elements = -0.32 eV/atom


Record 22
A plane-wave DFT calculation with GGA-PBE was carried out for a geometry-optimized Sr2Hg4Pb structure.

Unit cell a=5.431 b=5.431 c=9.361 alpha=73.14 beta=73.14 gamma=60.00
Fractional positions:
Sr: 0.744 0.744 0.767
Sr: 0.256 0.256 0.233
Hg: 0.869 0.869 0.393
Hg: 0.131 0.131 0.607
Hg: 0.614 0.614 0.158
Hg: 0.386 0.386 0.842
Pb: 0.000 0.000 0.000

Calculated values
magnetization = 0.0 μB per formula unit
SG = R-3m
crystal system = trigonal
E_tot = -10.78 eV for the cell shown
formation energy from the elements = -0.36 eV/atom


Record 23
A plane-wave DFT calculation with GGA-PBE was carried out for a geometry-optimized Sr5Hg6Pb structure.

Unit cell a=5.516 b=9.701 c=9.701 alpha=119.37 beta=106.52 gamma=106.52
Fractional positions:
Pb: 0.000 0.000 0.000
Sr: 0.500 0.158 0.842
Sr: 0.000 0.329 0.671
Sr: 0.500 0.500 0.500
Sr: 0.000 0.671 0.329
Sr: 0.500 0.842 0.158
Hg: 0.255 0.087 0.423
Hg: 0.745 0.577 0.913
Hg: 0.759 0.259 0.259
Hg: 0.241 0.741 0.741
Hg: 0.255 0.423 0.087
Hg: 0.745 0.913 0.577

Calculated values
magnetization = 0.0 μB per formula unit
SG = Immm
crystal system = orthorhombic
E_tot = -19.73 eV for the cell shown
formation energy from the elements = -0.48 eV/atom